{"formula": "Ca2Cd2Pb3", "functional": "PBE-GGA", "state": "optimized geometry", "lattice": [[-3.5459, -3.4783, 1.4978], [4.8470, -0.2895, 1.8165], [-1.6422, 7.9376, 5.5744]], "species": ["Ca", "Ca", "Cd", "Cd", "Pb", "Pb", "Pb"], "frac_coords": [[0.7625, 0.3815, 0.1435], [0.2375, 0.6185, 0.8565], [0.2363, 0.1190, 0.3539], [0.7637, 0.8810, 0.6461], [0.0000, 0.0000, 0.0000], [0.4597, 0.2294, 0.6898], [0.5403, 0.7706, 0.3102]], "e_form_ev_per_atom": -0.19, "final_energy_ev_per_cell": -18.29, "volume_a3_per_cell": 218}

***

{"formula": "ZrVReIr", "functional": "PBE-GGA", "state": "optimized geometry", "lattice": [[-3.2593, 2.8555, -1.1893], [-3.4274, -1.4302, -2.5295], [-4.1013, -0.3994, 1.7919]], "species": ["Re", "Ir", "Zr", "V"], "frac_coords": [[0.2500, 0.2500, 0.2500], [0.7500, 0.7500, 0.7500], [0.0000, 0.0000, 0.0000], [0.5000, 0.5000, 0.5000]], "e_form_ev_per_atom": -0.32, "final_energy_ev_per_cell": -40.25, "volume_a3_per_cell": 64}

***

{"formula": "CsBS4", "functional": "PBE-GGA", "state": "optimized geometry", "lattice": [[-2.7027, -6.6739, -4.2810], [1.5000, -4.1696, 5.5533], [-6.8248, 3.8587, 0.1962]], "species": ["Cs", "Cs", "B", "B", "S", "S", "S", "S", "S", "S", "S", "S"], "frac_coords": [[0.2121, 0.1893, 0.3787], [0.7879, 0.8107, 0.6213], [0.9359, 0.4158, 0.8316], [0.0641, 0.5842, 0.1684], [0.8429, 0.2966, 0.5933], [0.6022, 0.3588, 0.0791], [0.0000, 0.3001, 0.0000], [0.3978, 0.2797, 0.9209], [0.1571, 0.7034, 0.4067], [0.3978, 0.6412, 0.9209], [0.0000, 0.6999, 0.0000], [0.6022, 0.7203, 0.0791]], "formation_energy_uncorrected_mev_per_atom": -485, "final_energy_ev_per_cell": -53.91, "volume_a3_per_cell": 412}

***

{"formula": "Pm2Dy5Er", "functional": "PBE-GGA", "state": "optimized geometry", "lattice": [[8.0966, 3.7661, 0.0050], [3.7610, 7.8071, -0.0053], [-0.0203, 0.0071, 10.6839]], "species": ["Pm", "Pm", "Pm", "Pm", "Dy", "Dy", "Dy", "Dy", "Dy", "Dy", "Dy", "Dy", "Dy", "Dy", "Er", "Er"], "frac_coords": [[0.8327, 0.6168, 0.3940], [0.8327, 0.6171, 0.1060], [0.1673, 0.3832, 0.6060], [0.1673, 0.3829, 0.8940], [0.7168, 0.0252, 0.9164], [0.7168, 0.0252, 0.5837], [0.2112, 0.6589, 0.4119], [0.2117, 0.6583, 0.0881], [0.7523, 0.2949, 0.2499], [0.2477, 0.7051, 0.7501], [0.7888, 0.3411, 0.5881], [0.7883, 0.3417, 0.9119], [0.2832, 0.9748, 0.0836], [0.2832, 0.9748, 0.4163], [0.5567, 0.8228, 0.7498], [0.4433, 0.1772, 0.2502]], "e_form_ev_per_atom": 0.18, "final_energy_ev_per_cell": -71.23, "volume_a3_per_cell": 524}

***

{"formula": "PuTi2Mo", "functional": "PBE-GGA", "state": "optimized geometry", "lattice": [[3.0990, 0.0000, 0.0000], [1.5495, 2.6839, 0.0000], [1.5495, 0.8946, 8.9410]], "species": ["Mo", "Ti", "Ti", "Pu"], "frac_coords": [[0.0000, 0.0000, 0.0000], [0.2613, 0.2613, 0.2162], [0.7387, 0.7387, 0.7838], [0.5000, 0.5000, 0.5000]], "e_form_ev_per_atom": 0.18, "final_energy_ev_per_cell": -40.25, "volume_a3_per_cell": 74}

***

{"formula": "InGeAu14", "functional": "PBE-GGA", "state": "optimized geometry", "lattice": [[-2.0125, 5.2564, 1.8858], [-3.8579, -3.8332, -2.3789], [-1.6255, -3.7167, 8.6251]], "species": ["In", "Ge", "Au", "Au", "Au", "Au", "Au", "Au", "Au", "Au", "Au", "Au", "Au", "Au", "Au", "Au"], "frac_coords": [[0.1645, 0.8355, 0.0000], [0.6668, 0.3332, 0.0000], [0.6656, 0.3344, 0.5000], [0.1653, 0.8347, 0.5000], [0.1681, 0.3349, 0.0000], [0.1636, 0.3352, 0.5000], [0.6651, 0.8319, 0.0000], [0.6648, 0.8364, 0.5000], [0.3362, 0.1673, 0.7496], [0.3362, 0.1673, 0.2504], [0.8327, 0.6638, 0.7496], [0.8327, 0.6638, 0.2504], [0.8347, 0.1653, 0.7507], [0.8347, 0.1653, 0.2493], [0.3345, 0.6655, 0.7492], [0.3345, 0.6655, 0.2508]], "e_form_ev_per_atom": 0.01, "final_energy_ev_per_cell": -53.05, "volume_a3_per_cell": 295}

***

{"formula": "Y2MnSb", "functional": "PBE-GGA", "state": "optimized geometry", "lattice": [[-2.9884, -0.3718, 4.0925], [-2.9708, -4.0761, 0.6146], [1.0664, -3.3978, 3.6243]], "species": ["Mn", "Sb", "Y", "Y"], "frac_coords": [[0.5000, 0.5000, 0.5000], [0.7500, 0.7500, 0.7500], [0.0000, 0.0000, 0.0000], [0.2500, 0.2500, 0.2500]], "formation_energy_uncorrected_mev_per_atom": 56, "final_energy_ev_per_cell": -26.00, "volume_a3_per_cell": 93}

***

{"formula": "BeFe3Os", "functional": "PBE-GGA", "state": "optimized geometry", "lattice": [[-3.1495, 0.7832, -1.9563], [-1.1994, -3.5588, 0.5060], [-1.7327, 1.0398, 3.2057]], "species": ["Be", "Os", "Fe", "Fe", "Fe"], "frac_coords": [[0.0000, 0.0000, 0.0000], [0.5000, 0.5000, 0.5000], [0.0000, 0.5000, 0.0000], [0.0000, 0.0000, 0.5000], [0.5000, 0.0000, 0.0000]], "e_form_ev_per_atom": 0.69, "final_energy_ev_per_cell": -36.89, "volume_a3_per_cell": 54}